[1]
Material: CrTcAg2Ge
Method: DFT, PBE
State: optimized geometry

It has space group P4/mmm (No. 123), with a = 4.7204 Å, b = 4.7204 Å, c = 4.5563 Å, α = 90.00°, β = 90.00° and γ = 90.00°. The inequivalent atoms are Cr at (0.0000, 0.0000, 0.0000), Tc at (0.5000, 0.5000, 0.0000), Ag at (0.0000, 0.5000, 0.5000) and Ge at (0.0000, 0.0000, 0.5000).

As for the formation energy: 1.41 eV/atom. Its density of states at the Fermi level is 5.53 states/eV per cell.

=====

[2]
Material: Sm3PtBr7
Method: DFT, PBE
State: optimized geometry

It has space group P3m1 (No. 156), with a = 8.4261 Å, b = 8.4261 Å, c = 6.4145 Å, α = 90.00°, β = 90.00° and γ = 120.00°. The inequivalent atoms are Sm at (0.0202, 0.5101, 0.0000), Pt at (0.3333, 0.6667, 0.2508), Br at (0.1763, 0.3527, 0.7246), Br at (0.3374, 0.1687, 0.2261) and Br at (0.6667, 0.3333, 0.7458).

The uncorrected energy is -4.55 eV per atom. Its density of states at the Fermi level is 0.00 states/eV per cell.

=====

[3]
Material: BaBi3Os
Method: DFT, PBE
State: optimized geometry

It has space group Pm-3m (No. 221), with a = 5.4954 Å, b = 5.4954 Å, c = 5.4954 Å, α = 90.00°, β = 90.00° and γ = 90.00°. The inequivalent atoms are Ba at (0.0000, 0.0000, 0.0000), Bi at (0.0000, 0.5000, 0.5000) and Os at (0.5000, 0.5000, 0.5000).

Its relative energy among the computed polymorphs is 0.00 eV/f.u. As for the formation energy: 0.27 eV/atom. Its density of states at the Fermi level is 6.24 states/eV per cell.

=====

[4]
Material: TiMnW
Method: DFT, PBE
State: optimized geometry

It has space group Cmcm (No. 63), with a = 4.2784 Å, b = 9.3307 Å, c = 4.2796 Å, α = 90.00°, β = 90.00° and γ = 90.00°. The inequivalent atoms are Ti at (0.0000, 0.0939, 0.2500), Mn at (0.0000, 0.2483, 0.7500) and W at (0.0000, 0.4095, 0.2500).

Its relative energy among the computed polymorphs is 0.00 eV/f.u. As for the formation energy: -0.16 eV/atom. Its density of states at the Fermi level is 6.11 states/eV per cell.

=====

[5]
Material: Rb4MgI5
Method: DFT, PBE
State: optimized geometry

It has space group I4 (No. 79), with a = 11.5100 Å, b = 11.5100 Å, c = 7.4846 Å, α = 90.00°, β = 90.00° and γ = 90.00°. The inequivalent atoms are Rb at (0.0952, 0.7025, 0.0000), Mg at (0.0000, 0.0000, 0.5076), I at (0.0000, 0.0000, 0.8981) and I at (0.0925, 0.7181, 0.4980).

The uncorrected energy is -2.55 eV per atom. Its density of states at the Fermi level is 2.11 states/eV per cell.

=====

[6]
Material: Ti5Sn3O12
Method: DFT, PBE
State: optimized geometry

It has space group Ia-3d (No. 230), with a = 12.9846 Å, b = 12.9846 Å, c = 12.9846 Å, α = 90.00°, β = 90.00° and γ = 90.00°. The inequivalent atoms are Ti at (0.0000, 0.0000, 0.0000), Ti at (0.0000, 0.2500, 0.3750), Sn at (0.0000, 0.2500, 0.1250) and O at (0.0344, 0.0429, 0.6481).

The uncorrected energy is -7.91 eV per atom. Its density of states at the Fermi level is 85.76 states/eV per cell.

=====

[7]
Material: AlFe2RuC
Method: DFT, PBE
State: optimized geometry

It has space group P4/mmm (No. 123), with a = 3.7742 Å, b = 3.7742 Å, c = 4.0488 Å, α = 90.00°, β = 90.00° and γ = 90.00°. The inequivalent atoms are Al at (0.0000, 0.0000, 0.0000), Fe at (0.0000, 0.5000, 0.5000), Ru at (0.5000, 0.5000, 0.0000) and C at (0.5000, 0.5000, 0.5000).

As for the formation energy: -0.15 eV/atom. Its density of states at the Fermi level is 3.61 states/eV per cell.

=====

[8]
Material: LaMgBiSe
Method: DFT, PBE
State: optimized geometry

It has space group P4/nmm (No. 129, origin choice 2), with a = 4.8664 Å, b = 4.8664 Å, c = 10.2006 Å, α = 90.00°, β = 90.00° and γ = 90.00°. The inequivalent atoms are La at (0.2500, 0.2500, 0.1607), Mg at (0.2500, 0.7500, 0.5000), Bi at (0.2500, 0.2500, 0.6787) and Se at (0.2500, 0.7500, 0.0000).

The uncorrected energy is -4.52 eV per atom. Its density of states at the Fermi level is 0.02 states/eV per cell.